1.
Material: MgRu2Cl2
Method: DFT, PBE
State: relaxed

Lattice parameters (Å, degrees): 4.176 4.176 10.496 90.00 90.00 90.00
Space group I4/mmm (No. 139)
Unique sites:
Mg: 0.000 0.000 0.000 x2
Ru: 0.000 0.500 0.250 x4
Cl: 0.000 0.000 0.365 x4

2.
Material: MgRu2Cl
Method: DFT, PBE
State: relaxed

Lattice parameters (Å, degrees): 7.916 2.947 7.831 90.00 119.67 90.00
Space group Cm (No. 8)
Unique sites:
Mg: 0.000 0.000 0.000 x2
Ru: 0.168 0.000 0.756 x2
Ru: 0.374 0.000 0.624 x2
Cl: 0.184 0.500 0.291 x2

Computed properties:
energy relative to the lowest polymorph listed for this composition: 0.181 eV/atom

3.
Material: Mg2RuCl
Method: DFT, PBE
State: relaxed

Lattice parameters (Å, degrees): 6.558 6.558 6.558 90.00 90.00 90.00
Space group F-43m (No. 216)
Unique sites:
Mg: 0.000 0.000 0.000 x4
Mg: 0.250 0.250 0.250 x4
Ru: 0.000 0.000 0.500 x4
Cl: 0.250 0.250 0.750 x4

Computed properties:
energy relative to the lowest polymorph listed for this composition: 0.799 eV/atom

4.
Material: Mg2RuCl
Method: DFT, PBE
State: relaxed

Lattice parameters (Å, degrees): 10.303 2.995 4.854 90.00 103.32 90.00
Space group Cm (No. 8)
Unique sites:
Mg: 0.000 0.000 0.000 x2
Mg: 0.203 0.000 0.625 x2
Ru: 0.470 0.000 0.512 x2
Cl: 0.285 0.500 0.203 x2

Computed properties:
energy relative to the lowest polymorph listed for this composition: 0.291 eV/atom

5.
Material: Mg2RuCl
Method: DFT, PBE
State: relaxed

Lattice parameters (Å, degrees): 3.493 3.493 7.335 90.00 90.00 90.00
Space group P4mm (No. 99)
Unique sites:
Mg: 0.000 0.000 0.000 x1
Mg: 0.500 0.500 0.259 x1
Ru: 0.000 0.000 0.354 x1
Cl: 0.500 0.500 0.839 x1

Computed properties:
energy relative to the lowest polymorph listed for this composition: 0.387 eV/atom

6.
Material: MgRuCl2
Method: DFT, PBE
State: relaxed

Lattice parameters (Å, degrees): 3.236 5.997 8.006 90.00 90.00 90.00
Space group Cmmm (No. 65)
Unique sites:
Mg: 0.000 0.000 0.000 x2
Ru: 0.000 0.000 0.500 x2
Cl: 0.000 0.500 0.237 x4

Computed properties:
energy relative to the lowest polymorph listed for this composition: 0.487 eV/atom

Size of the total moment list, top to bottom, in μB/f.u.: 0.71, 0.00, 0.50, 0.83, 0.65, 2.16
Raw formation energy list, top to bottom, in eV/atom: 0.639, 0.089, 0.366, -0.141, -0.046, 0.024
DFT total energy list, top to bottom, in eV per atom: -4.129, -5.410, -3.212, -3.719, -3.624, -3.617